Run i
AcY2Ga after structural relaxation, computed with PBE.

Geometry as CIF:
```
data_AcY2Ga
_cell_length_a 7.7880
_cell_length_b 7.7880
_cell_length_c 7.7880
_cell_angle_alpha 90.00
_cell_angle_beta 90.00
_cell_angle_gamma 90.00
_symmetry_space_group_name_H-M 'F m -3 m'
_symmetry_Int_Tables_number 225
_symmetry_space_group_name_Hall '-F 4 2 3'
loop_
_atom_site_label
_atom_site_fract_x
_atom_site_fract_y
_atom_site_fract_z
Ac1 0.0000 0.0000 0.0000
Y1 0.2500 0.2500 0.2500
Ga1 0.0000 0.0000 0.5000
```

Run ii
AcY2Ga after structural relaxation, computed with PBE.

Geometry as CIF:
```
data_AcY2Ga
_cell_length_a 4.3681
_cell_length_b 4.3681
_cell_length_c 25.6942
_cell_angle_alpha 90.00
_cell_angle_beta 90.00
_cell_angle_gamma 120.00
_symmetry_space_group_name_H-M 'R -3 m'
_symmetry_Int_Tables_number 166
_symmetry_space_group_name_Hall '-R 3 2"'
loop_
_atom_site_label
_atom_site_fract_x
_atom_site_fract_y
_atom_site_fract_z
Ac1 0.0000 0.0000 0.0000
Y1 0.0000 0.0000 0.2197
Ga1 0.0000 0.0000 0.5000
```

Name the least stable of them. run i.